# Ba2LaFe (PBE-GGA, optimized geometry)
# - Electronic total energy: -3.753 eV/atom
# - Formation enthalpy at 0 K: 0.555 eV/atom
# - Relative energy among the computed polymorphs: 0.98 eV per formula unit
# - Symmetry: P4/mmm
data_Ba2LaFe
_chemical_formula_sum 'Ba2 La1 Fe1'
_cell_length_a 3.9000
_cell_length_b 3.9000
_cell_length_c 10.1226
_cell_angle_alpha 90.00
_cell_angle_beta 90.00
_cell_angle_gamma 90.00
_symmetry_space_group_name_H-M 'P 1'
_symmetry_Int_Tables_number 1
loop_
_symmetry_equiv_pos_as_xyz
'x,y,z'
loop_
_atom_site_label
_atom_site_type_symbol
_atom_site_fract_x
_atom_site_fract_y
_atom_site_fract_z
_atom_site_occupancy
Ba1 Ba 0.0000 0.0000 0.1916 1
Ba2 Ba 0.0000 0.0000 0.8084 1
La1 La 0.5000 0.5000 0.5000 1
Fe1 Fe 0.5000 0.5000 0.0000 1

---

# ErCuHg2 (PBE-GGA, optimized geometry)
# - Electronic total energy: -2.535 eV/atom
# - Formation enthalpy at 0 K: -0.220 eV/atom
# - Symmetry: Fm-3m
data_ErCuHg2
_chemical_formula_sum 'Er1 Cu1 Hg2'
_cell_length_a 4.8960
_cell_length_b 4.8960
_cell_length_c 4.8960
_cell_angle_alpha 60.00
_cell_angle_beta 60.00
_cell_angle_gamma 60.00
_symmetry_space_group_name_H-M 'P 1'
_symmetry_Int_Tables_number 1
loop_
_symmetry_equiv_pos_as_xyz
'x,y,z'
loop_
_atom_site_label
_atom_site_type_symbol
_atom_site_fract_x
_atom_site_fract_y
_atom_site_fract_z
_atom_site_occupancy
Er1 Er 0.0000 0.0000 0.0000 1
Cu1 Cu 0.5000 0.5000 0.5000 1
Hg1 Hg 0.2500 0.2500 0.2500 1
Hg2 Hg 0.7500 0.7500 0.7500 1

---

# TaTi2Ir5 (PBE-GGA, optimized geometry)
# - Electronic total energy: -9.723 eV/atom
# - Formation enthalpy at 0 K: -0.730 eV/atom
# - Symmetry: Pbam
data_TaTi2Ir5
_chemical_formula_sum 'Ta2 Ti4 Ir10'
_cell_length_a 5.5449
_cell_length_b 10.9854
_cell_length_c 4.0039
_cell_angle_alpha 90.00
_cell_angle_beta 90.00
_cell_angle_gamma 90.00
_symmetry_space_group_name_H-M 'P 1'
_symmetry_Int_Tables_number 1
loop_
_symmetry_equiv_pos_as_xyz
'x,y,z'
loop_
_atom_site_label
_atom_site_type_symbol
_atom_site_fract_x
_atom_site_fract_y
_atom_site_fract_z
_atom_site_occupancy
Ta1 Ta 0.0000 0.0000 0.0000 1
Ta2 Ta 0.5000 0.5000 0.0000 1
Ti1 Ti 0.1933 0.3591 0.5000 1
Ti2 Ti 0.3067 0.8591 0.5000 1
Ti3 Ti 0.6933 0.1409 0.5000 1
Ti4 Ti 0.8067 0.6409 0.5000 1
Ir1 Ir 0.0000 0.5000 0.0000 1
Ir2 Ir 0.0414 0.7550 0.0000 1
Ir3 Ir 0.2225 0.1176 0.5000 1
Ir4 Ir 0.2775 0.6176 0.5000 1
Ir5 Ir 0.4586 0.2550 0.0000 1
Ir6 Ir 0.5000 0.0000 0.0000 1
Ir7 Ir 0.5414 0.7450 0.0000 1
Ir8 Ir 0.7225 0.3824 0.5000 1
Ir9 Ir 0.7775 0.8824 0.5000 1
Ir10 Ir 0.9586 0.2450 0.0000 1

---

Please write out number 3 again, unchanged.
# TaTi2Ir5 (PBE-GGA, optimized geometry)
# - Electronic total energy: -9.723 eV/atom
# - Formation enthalpy at 0 K: -0.730 eV/atom
# - Symmetry: Pbam
data_TaTi2Ir5
_chemical_formula_sum 'Ta2 Ti4 Ir10'
_cell_length_a 5.5449
_cell_length_b 10.9854
_cell_length_c 4.0039
_cell_angle_alpha 90.00
_cell_angle_beta 90.00
_cell_angle_gamma 90.00
_symmetry_space_group_name_H-M 'P 1'
_symmetry_Int_Tables_number 1
loop_
_symmetry_equiv_pos_as_xyz
'x,y,z'
loop_
_atom_site_label
_atom_site_type_symbol
_atom_site_fract_x
_atom_site_fract_y
_atom_site_fract_z
_atom_site_occupancy
Ta1 Ta 0.0000 0.0000 0.0000 1
Ta2 Ta 0.5000 0.5000 0.0000 1
Ti1 Ti 0.1933 0.3591 0.5000 1
Ti2 Ti 0.3067 0.8591 0.5000 1
Ti3 Ti 0.6933 0.1409 0.5000 1
Ti4 Ti 0.8067 0.6409 0.5000 1
Ir1 Ir 0.0000 0.5000 0.0000 1
Ir2 Ir 0.0414 0.7550 0.0000 1
Ir3 Ir 0.2225 0.1176 0.5000 1
Ir4 Ir 0.2775 0.6176 0.5000 1
Ir5 Ir 0.4586 0.2550 0.0000 1
Ir6 Ir 0.5000 0.0000 0.0000 1
Ir7 Ir 0.5414 0.7450 0.0000 1
Ir8 Ir 0.7225 0.3824 0.5000 1
Ir9 Ir 0.7775 0.8824 0.5000 1
Ir10 Ir 0.9586 0.2450 0.0000 1